## U3Hg5Te12 (PBE-GGA)

Data for crystalline U3Hg5Te12 at its relaxed geometry.

Values from the calculation:
* formation energy without anion corrections: -0.196 eV/atom
* total magnetization: 5.564 μB/f.u.
* VASP energy: -3.85 eV/atom

abc: 15.282 15.282 15.282
angles: 109.47 109.47 109.47
Fractional coordinates of all 80 atoms:
Te1 0.228 0.672 0.089
Te2 0.272 0.411 0.828
Te3 0.911 0.828 0.772
Te4 0.589 0.728 0.672
Hg1 0.250 0.375 0.625
Te5 0.172 0.089 0.728
Hg2 0.500 0.500 0.000
Te6 0.828 0.917 0.056
Te7 0.139 0.411 0.083
Te8 0.556 0.228 0.139
U1 0.125 0.250 0.875
Te9 0.728 0.589 0.172
Hg3 0.000 0.500 0.500
Te10 0.828 0.911 0.272
Te11 0.583 0.944 0.672
Te12 0.556 0.328 0.917
Te13 0.056 0.639 0.728
Hg4 0.125 0.375 0.250
Hg5 0.375 0.250 0.125
Te14 0.861 0.589 0.917
U2 0.125 0.875 0.750
U3 0.750 0.875 0.625
Te15 0.361 0.417 0.089
Te16 0.672 0.228 0.589
Hg6 0.000 0.500 0.000
Te17 0.417 0.056 0.328
Te18 0.772 0.444 0.361
Te19 0.089 0.172 0.228
Hg7 0.000 0.000 0.000
Te20 0.272 0.861 0.944
Hg8 0.250 0.875 0.125
Te21 0.639 0.583 0.911
Te22 0.444 0.772 0.861
Hg9 0.500 0.500 0.500
Te23 0.861 0.272 0.444
Te24 0.139 0.728 0.556
Te25 0.328 0.556 0.417
Hg10 0.875 0.625 0.750
Hg11 0.375 0.125 0.750
Te26 0.417 0.361 0.589
U4 0.875 0.125 0.250
Te27 0.328 0.772 0.411
Te28 0.772 0.328 0.911
Te29 0.589 0.861 0.417
U5 0.750 0.375 0.125
Te30 0.728 0.139 0.056
Te31 0.228 0.556 0.639
Hg12 0.625 0.750 0.875
U6 0.250 0.125 0.375
Te32 0.583 0.639 0.411
Te33 0.944 0.583 0.172
U7 0.375 0.625 0.250
Te34 0.083 0.911 0.139
Hg13 0.125 0.750 0.375
U8 0.875 0.750 0.125
Hg14 0.500 0.000 0.500
Te35 0.411 0.272 0.328
Hg15 0.500 0.000 0.000
Hg16 0.000 0.000 0.500
Te36 0.411 0.139 0.583
Te37 0.444 0.672 0.083
Hg17 0.750 0.125 0.875
Te38 0.672 0.444 0.583
Hg18 0.625 0.875 0.250
U9 0.250 0.625 0.875
Te39 0.917 0.828 0.556
U10 0.625 0.250 0.375
Te40 0.911 0.083 0.639
Te41 0.089 0.917 0.361
U11 0.625 0.375 0.750
U12 0.375 0.750 0.625
Te42 0.944 0.361 0.272
Te43 0.083 0.172 0.444
Hg19 0.750 0.625 0.375
Te44 0.056 0.417 0.828
Te45 0.361 0.944 0.772
Te46 0.639 0.056 0.228
Te47 0.172 0.083 0.944
Hg20 0.875 0.250 0.625
Te48 0.917 0.089 0.861

---

## Ce6GaHg3 (PBE-GGA)

Data for crystalline Ce6GaHg3 at its relaxed geometry.

Values from the calculation:
* total magnetization: 3.679 μB/f.u.
* VASP energy: -4.16 eV/atom
* formation enthalpy at 0 K: -202 meV per atom

abc: 5.747 8.769 10.527
angles: 90.00 89.62 90.00
Fractional coordinates of all 20 atoms:
Ga1 0.500 0.500 0.500
Ce1 0.473 0.857 0.048
Ce2 0.710 0.392 0.256
Ce3 0.487 0.849 0.451
Ce4 0.013 0.349 0.049
Ce5 0.513 0.151 0.549
Ce6 0.027 0.357 0.452
Hg1 0.207 0.624 0.252
Hg2 0.293 0.124 0.248
Ce7 0.973 0.643 0.548
Ce8 0.210 0.108 0.756
Hg3 0.793 0.376 0.748
Ce9 0.987 0.651 0.951
Hg4 0.500 0.500 0.000
Ce10 0.290 0.608 0.744
Ga2 0.000 0.000 0.000
Ce11 0.790 0.892 0.244
Hg5 0.707 0.876 0.752
Hg6 0.000 0.000 0.500
Ce12 0.527 0.143 0.952

---

## BeSb2 (PBE-GGA)

Data for crystalline BeSb2 at its relaxed geometry.

Values from the calculation:
* formation energy without anion corrections: 0.233 eV/atom
* total magnetization: 0.000 μB/f.u.
* VASP energy: -3.76 eV/atom
* energy above the lowest structure with this stoichiometry: 0.000 eV per atom

abc: 6.520 6.520 7.581
angles: 70.18 70.18 32.33
Fractional coordinates of all 6 atoms:
Sb1 0.098 0.098 0.221
Sb2 0.701 0.701 0.682
Be1 0.250 0.250 0.903
Sb3 0.299 0.299 0.318
Be2 0.750 0.750 0.097
Sb4 0.902 0.902 0.779

---

- total magnetization of number 3 (BeSb2)?
  0.000 μB/f.u.

---

- The lowest total magnetization belongs to which entry?
  BeSb2

---

- Among the records above, which one has the lowest total magnetization?
  BeSb2